The following is a PBE calculation of an optimized crystal structure of SrGaCuPd2, from the Alexandria database.

Lattice parameters (Å, degrees): 5.257 5.257 5.391 90.00 90.00 90.00
Space group P4/mmm (No. 123)
Inequivalent atoms, fractional coordinates:
Sr: 0.000 0.000 0.000 x1
Ga: 0.500 0.500 0.500 x1
Cu: 0.000 0.000 0.500 x1
Pd: 0.000 0.500 0.000 x2

Values from the calculation:
The calculation puts the total magnetic moment at 0.0 Bohr magnetons per cell. As for the crystal system: tetragonal. The calculation puts the formation energy at 1.02 eV per atom. For the density, the calculation gives 4834 kg/m3.

---

The following is a PBE calculation of an optimized crystal structure of TaGaCuPd, from the Alexandria database.

Lattice parameters (Å, degrees): 6.240 6.240 6.240 90.00 90.00 90.00
Space group F-43m (No. 216)
Inequivalent atoms, fractional coordinates:
Ta: 0.000 0.000 0.000 x4
Ga: 0.000 0.000 0.500 x4
Cu: 0.250 0.250 0.250 x4
Pd: 0.250 0.250 0.750 x4

Values from the calculation:
The calculation puts the total magnetic moment at 0.0 Bohr magnetons per cell. As for the crystal system: cubic. The calculation puts the formation energy at -0.14 eV per atom. For the density, the calculation gives 11501 kg/m3.

---

The following is a PBE calculation of an optimized crystal structure of TbGa2CuPd4, from the Alexandria database.

Lattice parameters (Å, degrees): 4.3873 4.3873 23.9154 90.00 90.00 120.00
Space group R-3m (No. 166, hexagonal axes)
Inequivalent atoms, fractional coordinates:
Tb: 0.0000 0.0000 0.0000 x3
Ga: 0.0000 0.0000 0.2412 x6
Cu: 0.0000 0.0000 0.5000 x3
Pd: 0.0000 0.0000 0.1283 x6
Pd: 0.0000 0.0000 0.3954 x6

Values from the calculation:
The calculation puts the total magnetic moment at 0.0 Bohr magnetons per cell. As for the crystal system: trigonal. The calculation puts the formation energy at -0.62 eV per atom. For the density, the calculation gives 9842 kg/m3.

---

The following is a PBE calculation of an optimized crystal structure of Tb2Ga3CuPd4, from the Alexandria database.

Lattice parameters (Å, degrees): 4.013 4.013 11.470 90.00 90.00 90.00
Space group P-4m2 (No. 115)
Inequivalent atoms, fractional coordinates:
Tb: 0.000 0.500 0.237 x2
Ga: 0.000 0.000 0.000 x1
Ga: 0.000 0.500 0.634 x2
Cu: 0.500 0.500 0.000 x1
Pd: 0.000 0.000 0.500 x1
Pd: 0.000 0.500 0.853 x2
Pd: 0.500 0.500 0.500 x1

Values from the calculation:
The calculation puts the total magnetic moment at 0.0 Bohr magnetons per cell. As for the crystal system: tetragonal. The calculation puts the formation energy at -0.71 eV per atom. For the density, the calculation gives 9138 kg/m3.

---

The following is a PBE calculation of an optimized crystal structure of Tb2Ga3Cu12Pd, from the Alexandria database.

Lattice parameters (Å, degrees): 5.3428 5.3428 34.6566 90.00 90.00 120.00
Space group R-3m (No. 166, hexagonal axes)
Inequivalent atoms, fractional coordinates:
Tb: 0.0000 0.0000 0.1425 x6
Ga: 0.0000 0.5000 0.0000 x9
Cu: 0.0030 0.5015 0.8912 x18
Cu: 0.0233 0.5117 0.6114 x18
Pd: 0.0000 0.0000 0.5000 x3

Values from the calculation:
The calculation puts the total magnetic moment at 0.0 Bohr magnetons per cell. As for the crystal system: trigonal. The calculation puts the formation energy at 0.01 eV per atom. For the density, the calculation gives 8117 kg/m3.

---

The following is a PBE calculation of an optimized crystal structure of Th2Ga3CuPd4, from the Alexandria database.

Lattice parameters (Å, degrees): 4.201 4.201 10.851 90.00 90.00 90.00
Space group P-4m2 (No. 115)
Inequivalent atoms, fractional coordinates:
Th: 0.000 0.500 0.243 x2
Ga: 0.000 0.000 0.000 x1
Ga: 0.000 0.500 0.630 x2
Cu: 0.500 0.500 0.000 x1
Pd: 0.000 0.000 0.500 x1
Pd: 0.000 0.500 0.861 x2
Pd: 0.500 0.500 0.500 x1

Values from the calculation:
The calculation puts the total magnetic moment at 0.0 Bohr magnetons per cell. As for the crystal system: tetragonal. The calculation puts the formation energy at -0.69 eV per atom. For the density, the calculation gives 10081 kg/m3.

---

The following is a PBE calculation of an optimized crystal structure of Th2Ga3Cu4Pd, from the Alexandria database.

Lattice parameters (Å, degrees): 4.272 4.272 9.894 90.00 90.00 90.00
Space group P-4m2 (No. 115)
Inequivalent atoms, fractional coordinates:
Th: 0.000 0.500 0.248 x2
Ga: 0.000 0.500 0.876 x2
Ga: 0.500 0.500 0.500 x1
Cu: 0.000 0.000 0.000 x1
Cu: 0.000 0.500 0.636 x2
Cu: 0.500 0.500 0.000 x1
Pd: 0.000 0.000 0.500 x1

Values from the calculation:
The calculation puts the total magnetic moment at 0.0 Bohr magnetons per cell. As for the crystal system: tetragonal. The calculation puts the formation energy at -0.41 eV per atom. For the density, the calculation gives 9508 kg/m3.

---

The following is a PBE calculation of an optimized crystal structure of ThGa2CuPd, from the Alexandria database.

Lattice parameters (Å, degrees): 4.352 4.352 9.948 90.00 90.00 90.00
Space group I-4m2 (No. 119)
Inequivalent atoms, fractional coordinates:
Th: 0.000 0.000 0.000 x2
Ga: 0.000 0.000 0.376 x4
Cu: 0.000 0.500 0.750 x2
Pd: 0.000 0.500 0.250 x2

Values from the calculation:
The calculation puts the total magnetic moment at 0.0 Bohr magnetons per cell. As for the crystal system: tetragonal. The calculation puts the formation energy at -0.58 eV per atom. For the density, the calculation gives 9544 kg/m3.